# ZnInCoNi

A relaxed structure of ZnInCoNi (PBE, the Alexandria database).

Values from the calculation:
- Fermi-level density of states: 0.86 states/eV per atom
- SG: F-43m, No. 216
- Raw total energy: -4.240 eV/atom

Structure (CIF):
```
data_ZnInCoNi
_chemical_formula_sum 'Zn1 In1 Co1 Ni1'
_cell_length_a 4.276
_cell_length_b 4.276
_cell_length_c 4.276
_cell_angle_alpha 60.00
_cell_angle_beta 60.00
_cell_angle_gamma 60.00
_space_group_name_H-M_alt 'P 1'
_space_group_IT_number 1
_space_group_name_Hall 'P 1'
loop_
_atom_site_label
_atom_site_type_symbol
_atom_site_fract_x
_atom_site_fract_y
_atom_site_fract_z
_atom_site_occupancy
Zn1 Zn 0.000 0.000 0.000 1
In1 In 0.500 0.500 0.500 1
Co1 Co 0.250 0.250 0.250 1
Ni1 Ni 0.750 0.750 0.750 1
```

# ZrInCoNi

A relaxed structure of ZrInCoNi (PBE, the Alexandria database).

Values from the calculation:
- Fermi-level density of states: 1.01 states/eV per atom
- SG: F-43m, No. 216
- Raw total energy: -6.347 eV/atom

Structure (CIF):
```
data_ZrInCoNi
_chemical_formula_sum 'Zr1 In1 Co1 Ni1'
_cell_length_a 4.463
_cell_length_b 4.463
_cell_length_c 4.463
_cell_angle_alpha 60.00
_cell_angle_beta 60.00
_cell_angle_gamma 60.00
_space_group_name_H-M_alt 'P 1'
_space_group_IT_number 1
_space_group_name_Hall 'P 1'
loop_
_atom_site_label
_atom_site_type_symbol
_atom_site_fract_x
_atom_site_fract_y
_atom_site_fract_z
_atom_site_occupancy
Zr1 Zr 0.000 0.000 0.000 1
In1 In 0.500 0.500 0.500 1
Co1 Co 0.750 0.750 0.750 1
Ni1 Ni 0.250 0.250 0.250 1
```